No. 1
Below is BaAs4Br at its PBEsol-relaxed geometry, with properties calculated at the SCAN level.

abc: 5.972 5.972 5.972
angles: 60.00 60.00 60.00
Fractional positions:
Ba 0.000 0.000 0.000
As 0.394 0.394 0.394
As 0.394 0.394 0.818
As 0.394 0.818 0.394
As 0.818 0.394 0.394
Br 0.750 0.750 0.750

Properties
E_form (uncorrected): -0.5166 eV/atom
Total energy: -23.812 eV/atom
D(E_F): 4.41 states/eV/f.u.


No. 2
Below is BaAsBr2 at its PBEsol-relaxed geometry, with properties calculated at the SCAN level.

abc: 3.687 3.687 31.493
angles: 90.00 90.00 120.00
Fractional positions:
Ba 0.000 0.000 0.000
Ba 0.333 0.667 0.667
Ba 0.667 0.333 0.333
As 0.000 0.000 0.500
As 0.333 0.667 0.167
As 0.667 0.333 0.833
Br 0.000 0.000 0.097
Br 0.000 0.000 0.903
Br 0.333 0.667 0.570
Br 0.333 0.667 0.764
Br 0.667 0.333 0.236
Br 0.667 0.333 0.430

Properties
E_form (uncorrected): -0.0052 eV/atom
Excess energy over the best structure of this formula in the dataset: 1089.5 meV/atom
Total energy: -24.670 eV/atom
D(E_F): 3.34 states/eV/f.u.


No. 3
Below is Ba3AsBr at its PBEsol-relaxed geometry, with properties calculated at the SCAN level.

abc: 5.953 5.953 5.953
angles: 90.00 90.00 90.00
Fractional positions:
Ba 0.000 0.000 0.500
Ba 0.000 0.500 0.000
Ba 0.500 0.000 0.000
As 0.500 0.500 0.500
Br 0.000 0.000 0.000

Properties
E_form (uncorrected): -0.6717 eV/atom
Total energy: -32.332 eV/atom
D(E_F): 3.30 states/eV/f.u.


no.,magnetic moment (μB per cell)
1,0.00
2,0.01
3,0.00